No. 1
Density functional theory data (PBEsol) for a relaxed ZrHg3 crystal.

Structure (POSCAR):
```
ZrHg3
1.0
3.090 0.000 0.000
0.000 5.428 -0.020
0.000 -1.851 5.102
Hg Zr
3 1
direct
0.000 0.000 0.000 Hg
0.500 0.000 0.500 Hg
0.500 0.500 0.000 Hg
0.000 0.500 0.500 Zr
```

Results
ΔE_f   -95 meV/atom
Magnetic moment   0.001 μB per cell
Volume   85 Å³/cell
SG   Cmmm (65)

No. 2
Density functional theory data (PBEsol) for a relaxed Zr2Hg crystal.

Structure (POSCAR):
```
Zr2Hg
1.0
4.965 0.000 0.000
-2.483 4.300 0.000
0.000 0.000 5.916
Hg Zr
2 4
direct
0.667 0.333 0.750 Hg
0.333 0.667 0.250 Hg
0.000 0.000 0.000 Zr
0.000 0.000 0.500 Zr
0.667 0.333 0.250 Zr
0.333 0.667 0.750 Zr
```

Results
ΔE_f   -186 meV/atom
Magnetic moment   0.002 μB per cell
Volume   126 Å³/cell
SG   P6_3/mmc (194)

No. 3
Density functional theory data (PBEsol) for a relaxed Zr3Hg crystal.

Structure (POSCAR):
```
Zr3Hg
1.0
3.192 0.000 0.000
0.000 4.008 0.000
0.000 0.000 6.600
Hg Zr
1 3
direct
0.000 0.000 0.000 Hg
0.000 0.000 0.500 Zr
0.500 0.500 0.246 Zr
0.500 0.500 0.754 Zr
```

Results
ΔE_f   -169 meV/atom
Magnetic moment   0.000 μB per cell
Volume   84 Å³/cell
SG   Pmmm (47)